Record 1
Material: NaMg2NbSi
Method: DFT, GGA-PBE
State: optimized geometry

Cell and atoms, written as POSCAR:
```
NaMg2NbSi
1.0
4.6744 0.0000 0.0000
0.0000 4.7920 0.0000
0.0000 0.0000 4.6744
Mg Na Nb Si
2 1 1 1
direct
0.0000 0.0000 0.5000
0.5000 0.0000 0.0000
0.0000 0.0000 0.0000
0.5000 0.5000 0.5000
0.0000 0.5000 0.0000
```

Density of states at the Fermi level (states/eV/f.u.): 3.847
E_form (uncorrected) (eV per atom): 1.288
Total magnetic moment (μB/cell): 0.00

***

Record 2
Material: Sr2PaPbO6
Method: DFT, GGA-PBE
State: optimized geometry

Cell and atoms, written as POSCAR:
```
Sr2PaPbO6
1.0
-2.7844 -3.2458 1.4196
-1.8055 -1.0508 -5.9440
4.6128 -4.2419 -0.6513
Sr Pa Pb O
2 1 1 6
direct
0.0221 0.5000 0.0000
0.0221 0.0000 0.5000
0.6454 0.5000 0.5000
0.6265 0.0000 0.0000
0.7084 0.2622 0.2622
0.7084 0.2622 0.7378
0.1595 0.5000 0.5000
0.1376 0.0000 0.0000
0.7084 0.7378 0.7378
0.7084 0.7378 0.2622
```

Density of states at the Fermi level (states/eV/f.u.): 0.198
E_form (uncorrected) (eV per atom): -2.579
Total magnetic moment (μB/cell): 0.00

***

Record 3
Material: RbPdN2
Method: DFT, GGA-PBE
State: optimized geometry

Cell and atoms, written as POSCAR:
```
RbPdN2
1.0
1.9470 -0.5969 3.8205
-1.8704 -2.4754 3.0194
1.6926 -3.8605 0.9872
Rb Pd N
1 1 2
direct
0.0000 0.0000 0.0000
0.5000 0.5000 0.5000
0.2500 0.2500 0.2500
0.7500 0.7500 0.7500
```

Density of states at the Fermi level (states/eV/f.u.): 3.107
E_form (uncorrected) (eV per atom): 2.023
Total magnetic moment (μB/cell): 0.49
Polymorph energy (0 for the lowest one) (meV/atom): 1945.2

***

Record 4
Material: DyPd4Au2
Method: DFT, GGA-PBE
State: optimized geometry

Cell and atoms, written as POSCAR:
```
DyPd4Au2
1.0
-0.3543 3.1304 4.5537
-0.2784 -5.5197 0.3413
5.0948 0.9855 -1.9319
Dy Pd Au
1 4 2
direct
0.5000 0.5000 0.0000
0.2013 0.2012 0.4025
0.7988 0.2013 0.0000
0.2012 0.7987 0.0000
0.7987 0.7988 0.5975
0.2500 0.7500 0.5000
0.7500 0.2500 0.5000
```

Density of states at the Fermi level (states/eV/f.u.): 3.170
Total magnetic moment (μB/cell): 0.00
Energy of formation (eV/atom): -0.4686
Polymorph energy (0 for the lowest one) (meV/atom): 0.0